1.
VASP calculation (GGA+U) on a relaxed structure of CdNiN2F.

Results
As for the energy relative to the lowest polymorph listed for this composition: 0 meV per atom. As for the density: 6.14 g/cm³. As for the raw total energy: -3.808 eV/atom.

a = 3.817 Å, b = 3.817 Å, c = 4.049 Å
α = 90.00°, β = 90.00°, γ = 90.00°
Space group P4/mmm (No. 123)
Symmetry-distinct sites (fractional):
Cd: 0.000 0.000 0.000 x1
Ni: 0.500 0.500 0.500 x1
N: 0.000 0.500 0.500 x2
F: 0.500 0.500 0.000 x1



2.
VASP calculation (GGA+U) on a relaxed structure of CdNiN2F.

Results
As for the energy relative to the lowest polymorph listed for this composition: 1041 meV per atom. As for the density: 4.76 g/cm³. As for the raw total energy: -2.767 eV/atom.

a = 4.202 Å, b = 4.202 Å, c = 4.307 Å
α = 90.00°, β = 90.00°, γ = 90.00°
Space group P4/mmm (No. 123)
Symmetry-distinct sites (fractional):
Cd: 0.000 0.000 0.000 x1
Ni: 0.500 0.500 0.500 x1
N: 0.000 0.500 0.000 x2
F: 0.000 0.000 0.500 x1



Number 2 is which compound? CdNiN2F



Among the records above, which one has the lowest energy relative to the lowest polymorph listed for this composition? number 1